A plane-wave DFT calculation with PBE was carried out for crystalline Na4B7C at its relaxed geometry.

a = 10.3158 Å, b = 10.3125 Å, c = 2.7572 Å
α = 90.00°, β = 90.00°, γ = 116.02°
Last column: nearest neighbours and their distance in Å.
Sites, in units of the cell vectors:
Na1 0.7500 0.7500 0.5000  10 B 2.67-2.85, 2 Na 2.76, 2 C 2.88
Na2 0.5017 0.0004 0.5000  11 B 2.68-2.99, 2 Na 2.76, 1 C 2.85
Na3 0.2500 0.2500 0.5000  12 B 2.70-3.00, 2 Na 2.76
Na4 0.9983 0.4996 0.5000  11 B 2.68-2.99, 2 Na 2.76, 1 C 2.85
Na5 0.5017 0.5019 0.0000  10 B 2.69-2.95, 2 C 2.73, 2 Na 2.76
Na6 0.2500 0.7500 0.0000  12 B 2.72-2.99, 2 Na 2.76
Na7 0.9983 0.9981 0.0000  10 B 2.69-2.95, 2 C 2.73, 2 Na 2.76
Na8 0.7500 0.2500 0.0000  8 B 2.67-2.83, 4 C 2.72, 2 Na 2.76
C1 0.7947 0.0456 0.5000  3 B 1.56-1.61
C2 0.7053 0.4544 0.5000  3 B 1.56-1.61
B1 0.5608 0.8093 0.0000  3 B 1.75-1.78
B2 0.4607 0.2091 0.0000  3 B 1.71-1.78
B3 0.3037 0.0532 0.0000  3 B 1.71-1.78
B4 0.7198 0.9697 0.0000  2 C 1.61, 1 B 1.75
B5 0.0393 0.2909 0.0000  3 B 1.71-1.78
B6 0.9392 0.6907 0.0000  3 B 1.75-1.78
B7 0.7802 0.5303 0.0000  2 C 1.61, 1 B 1.75
B8 0.1963 0.4468 0.0000  3 B 1.71-1.78
B9 0.2998 0.5494 0.5000  3 B 1.72-1.78
B10 0.2002 0.9506 0.5000  3 B 1.72-1.78
B11 0.0428 0.7940 0.5000  3 B 1.72-1.78
B12 0.4572 0.7060 0.5000  3 B 1.72-1.78
B13 0.5630 0.3118 0.5000  1 C 1.56
B14 0.9370 0.1882 0.5000  1 C 1.56

spin magnetization = 0.00 Bohr magnetons per cell
raw total energy = -117.14 eV for the cell shown
density = 2.263 g/cm³